[1]
A PBEsol-optimized structure of HgBiS2, computed with meta-GGA SCAN.

## Properties
Formation energy without anion corrections, meV/atom: 178
Density of states at the Fermi level, states/eV/atom: 0.99
Final energy, eV/cell: -495.87

a b c (Å): 3.736 3.736 25.081
angles (deg): 90.00 90.00 120.00
Atoms (fractional coordinates):
Hg (0.000, 0.000, 0.000)
Hg (0.333, 0.667, 0.667)
Hg (0.667, 0.333, 0.333)
Bi (0.000, 0.000, 0.500)
Bi (0.333, 0.667, 0.167)
Bi (0.667, 0.333, 0.833)
S (0.000, 0.000, 0.393)
S (0.000, 0.000, 0.607)
S (0.333, 0.667, 0.060)
S (0.333, 0.667, 0.274)
S (0.667, 0.333, 0.726)
S (0.667, 0.333, 0.940)

***

[2]
A PBEsol-optimized structure of HgBi2S, computed with meta-GGA SCAN.

## Properties
Formation energy without anion corrections, meV/atom: 247
Density of states at the Fermi level, states/eV/atom: 0.67
Final energy, eV/cell: -935.86

a b c (Å): 7.284 7.284 7.284
angles (deg): 90.00 90.00 90.00
Atoms (fractional coordinates):
Hg (0.000, 0.000, 0.000)
Hg (0.000, 0.500, 0.500)
Hg (0.500, 0.000, 0.500)
Hg (0.500, 0.500, 0.000)
Bi (0.250, 0.250, 0.250)
Bi (0.250, 0.250, 0.750)
Bi (0.250, 0.750, 0.250)
Bi (0.250, 0.750, 0.750)
Bi (0.750, 0.250, 0.250)
Bi (0.750, 0.250, 0.750)
Bi (0.750, 0.750, 0.250)
Bi (0.750, 0.750, 0.750)
S (0.000, 0.000, 0.500)
S (0.000, 0.500, 0.000)
S (0.500, 0.000, 0.000)
S (0.500, 0.500, 0.500)

***

[3]
A PBEsol-optimized structure of HgBi2S4, computed with meta-GGA SCAN.

## Properties
Formation energy without anion corrections, meV/atom: -272
Final energy, eV/cell: -531.48

a b c (Å): 7.316 7.316 13.964
angles (deg): 117.69 117.69 31.88
Atoms (fractional coordinates):
Hg (0.000, 0.000, 0.000)
Hg (0.000, 0.000, 0.500)
Bi (0.219, 0.219, 0.865)
Bi (0.348, 0.348, 0.642)
Bi (0.652, 0.652, 0.358)
Bi (0.781, 0.781, 0.135)
S (0.002, 0.002, 0.671)
S (0.157, 0.157, 0.175)
S (0.312, 0.312, 0.438)
S (0.377, 0.377, 0.075)
S (0.623, 0.623, 0.925)
S (0.688, 0.688, 0.562)
S (0.843, 0.843, 0.825)
S (0.998, 0.998, 0.329)

***

[4]
A PBEsol-optimized structure of Hg2BiSb2, computed with meta-GGA SCAN.

## Properties
Formation energy without anion corrections, meV/atom: 300
Density of states at the Fermi level, states/eV/atom: 0.68
Final energy, eV/cell: -575.86

a b c (Å): 4.167 4.167 15.976
angles (deg): 90.00 90.00 90.00
Atoms (fractional coordinates):
Hg (0.000, 0.000, 0.093)
Hg (0.000, 0.000, 0.907)
Hg (0.500, 0.500, 0.407)
Hg (0.500, 0.500, 0.593)
Bi (0.000, 0.000, 0.500)
Bi (0.500, 0.500, 0.000)
Sb (0.000, 0.500, 0.250)
Sb (0.000, 0.500, 0.750)
Sb (0.500, 0.000, 0.250)
Sb (0.500, 0.000, 0.750)

***

[5]
A PBEsol-optimized structure of Hg2BiSb, computed with meta-GGA SCAN.

## Properties
Formation energy without anion corrections, meV/atom: 180
Density of states at the Fermi level, states/eV/atom: 0.69
Final energy, eV/cell: -1005.81

a b c (Å): 6.588 6.588 12.644
angles (deg): 90.00 90.00 90.00
Atoms (fractional coordinates):
Hg (0.236, 0.250, 0.125)
Hg (0.250, 0.736, 0.375)
Hg (0.250, 0.764, 0.875)
Hg (0.264, 0.250, 0.625)
Hg (0.736, 0.750, 0.625)
Hg (0.750, 0.236, 0.875)
Hg (0.750, 0.264, 0.375)
Hg (0.764, 0.750, 0.125)
Bi (0.000, 0.000, 0.500)
Bi (0.000, 0.500, 0.750)
Bi (0.500, 0.000, 0.250)
Bi (0.500, 0.500, 0.000)
Sb (0.000, 0.000, 0.000)
Sb (0.000, 0.500, 0.250)
Sb (0.500, 0.000, 0.750)
Sb (0.500, 0.500, 0.500)

***

[6]
A PBEsol-optimized structure of Sc3HgBi, computed with meta-GGA SCAN.

## Properties
Density of states at the Fermi level, states/eV/atom: 1.33
Formation energy, meV per atom: 294
Final energy, eV/cell: -187.99

a b c (Å): 5.339 5.339 5.339
angles (deg): 90.00 90.00 90.00
Atoms (fractional coordinates):
Sc (0.000, 0.000, 0.500)
Sc (0.000, 0.500, 0.000)
Sc (0.500, 0.000, 0.000)
Hg (0.500, 0.500, 0.500)
Bi (0.000, 0.000, 0.000)